Record 1
A plane-wave DFT calculation with GGA-PBE was carried out for crystalline La8Co3CCl3 at its relaxed geometry.

The calculated density comes out at 5.55 g/cm³. The formation energy (no corrections) is -0.722 eV per atom. The calculation puts the total energy at -172.7 eV/cell. The spin magnetization is 0.8 μB/f.u.

The space group is C2/m (No. 12) and the conventional cell measures 14.572, 7.787 and 8.709 Å, with angles of 90.00, 121.70 and 90.00 degrees. Symmetry generates all atoms from La at (0.007, 0.245, 0.304), La at (0.231, 0.000, 0.690), La at (0.245, 0.500, 0.705), Co at (0.000, 0.500, 0.500), Co at (0.250, 0.250, 0.500), C at (0.000, 0.000, 0.500), Cl at (0.000, 0.000, 0.000) and Cl at (0.250, 0.250, 0.000).


Record 2
A plane-wave DFT calculation with GGA-PBE was carried out for crystalline La8CoC3Cl4 at its relaxed geometry.

The calculated density comes out at 5.73 g/cm³. The formation energy (no corrections) is -0.962 eV per atom. The calculation puts the total energy at -193.9 eV/cell. The spin magnetization is 0.0 μB/f.u.

The space group is C2/m (No. 12) and the conventional cell measures 13.791, 7.789 and 8.572 Å, with angles of 90.00, 121.92 and 90.00 degrees. Symmetry generates all atoms from La at (0.020, 0.246, 0.306), La at (0.232, 0.000, 0.696), La at (0.247, 0.500, 0.701), Co at (0.000, 0.500, 0.500), C at (0.000, 0.000, 0.500), C at (0.250, 0.250, 0.500), Cl at (0.000, 0.000, 0.000), Cl at (0.000, 0.500, 0.000) and Cl at (0.250, 0.250, 0.000).